The following is a GGA+U calculation of crystalline Rb2VBO4 at its relaxed geometry, from Alexandria.

a = 4.8294 Å, b = 6.2460 Å, c = 10.9623 Å
α = 85.11°, β = 77.27°, γ = 67.26°
Site moments in Bohr magnetons follow the coordinates.
Element x y z (fractional)
Rb: 0.1744 0.0000 0.6512  0.01
Rb: 0.8256 0.0000 0.3488  0.01
Rb: 0.5756 0.5000 0.8488  0.01
Rb: 0.9244 0.5000 0.1512  0.01
V: 0.7500 0.5000 0.5000  1.82
V: 0.0000 0.0000 0.0000  1.82
B: 0.2500 0.5000 0.5000  0.02
B: 0.5000 0.0000 0.0000  0.02
O: 0.3442 0.8517 0.0779  -0.02
O: 0.2737 0.1483 0.9221  -0.02
O: 0.8042 0.8517 0.9221  -0.02
O: 0.5780 0.1483 0.0779  -0.02
O: 0.4058 0.6483 0.4221  -0.02
O: 0.4763 0.3517 0.5779  -0.02
O: 0.9458 0.6483 0.5779  -0.02
O: 0.1720 0.3517 0.4221  -0.02

Computed properties:
Density: 3.3 g cm⁻³
Calculated total energy: -6.349 eV/atom
Total magnetic moment: 2.00 μB/f.u.